(1)
Here is a geometry-optimized RbSeSN2 structure from the Alexandria database. Energies are from PBEsol.

Lattice parameters (Å, degrees): 4.2527 4.2527 4.8957 90.00 90.00 90.00
With the nearest neighbours (Å) after each atom.
Atoms (fractional coordinates):
Rb: 0.0000 0.0000 0.0000  4 S 3.01, 8 N 3.24
Se: 0.5000 0.5000 0.5000  4 N 2.13
S: 0.5000 0.5000 0.0000  2 Se 2.45
N: 0.0000 0.5000 0.5000  2 Se 2.13
N: 0.5000 0.0000 0.5000  2 Se 2.13

Calculated values
Formation energy from raw total energies ... 1.14 eV per atom
Density ... 4.21 g cm⁻³
Total magnetization ... 2.957 μB/cell
E above lowest polymorph ... 0.00 eV/f.u.
Calculated total energy ... -4.125 eV/atom
Crystal system ... tetragonal

***

(2)
Here is a geometry-optimized RbTeSN2 structure from the Alexandria database. Energies are from PBEsol.

Lattice parameters (Å, degrees): 4.4823 4.4823 7.2572 90.00 90.00 90.00
With the nearest neighbours (Å) after each atom.
Atoms (fractional coordinates):
Rb: 0.0000 0.0000 0.0000  4 N 2.24
Te: 0.0000 0.0000 0.5000  4 S 3.17
S: 0.5000 0.5000 0.5000  4 Te 3.17
N: 0.0000 0.5000 0.0000  2 Rb 2.24
N: 0.5000 0.0000 0.0000  2 Rb 2.24

Calculated values
Formation energy from raw total energies ... 2.46 eV per atom
Density ... 3.11 g cm⁻³
Total magnetization ... 4.070 μB/cell
Calculated total energy ... -2.734 eV/atom
Crystal system ... tetragonal

***

(3)
Here is a geometry-optimized RbSbN3 structure from the Alexandria database. Energies are from PBEsol.

Lattice parameters (Å, degrees): 4.3226 4.3226 4.3226 90.00 90.00 90.00
With the nearest neighbours (Å) after each atom.
Atoms (fractional coordinates):
Rb: 0.0000 0.0000 0.0000  6 N 2.16
Sb: 0.5000 0.5000 0.5000  12 N 3.06
N: 0.0000 0.0000 0.5000  2 Rb 2.16
N: 0.0000 0.5000 0.0000  2 Rb 2.16
N: 0.5000 0.0000 0.0000  2 Rb 2.16

Calculated values
Formation energy from raw total energies ... 2.94 eV per atom
Density ... 5.12 g cm⁻³
Total magnetization ... 1.269 μB/cell
Calculated total energy ... -3.294 eV/atom
Crystal system ... cubic